[1]
# GaCuPdPb

GaCuPdPb after structural relaxation (PBE-GGA, the Open Quantum Materials Database).

- energy above the most stable polymorph in this dataset (meV per atom) = 0
- uncorrected energy (eV per atom) = -3.905

Lattice parameters (Å, degrees): 4.6796 4.6796 4.6796 60.00 60.00 60.00
Fractional coordinates of all 4 atoms:
Pb 0.5000 0.5000 0.5000
Cu 0.7500 0.7500 0.7500
Ga 0.0000 0.0000 0.0000
Pd 0.2500 0.2500 0.2500

=====

[2]
# GaCuPtPb

GaCuPtPb after structural relaxation (PBE-GGA, the Open Quantum Materials Database).

- energy above the most stable polymorph in this dataset (meV per atom) = 0
- uncorrected energy (eV per atom) = -4.073

Lattice parameters (Å, degrees): 4.6890 4.6890 4.6890 60.00 60.00 60.00
Fractional coordinates of all 4 atoms:
Pb 0.0000 0.0000 0.0000
Cu 0.7500 0.7500 0.7500
Ga 0.5000 0.5000 0.5000
Pt 0.2500 0.2500 0.2500